Entry from the Alexandria database: an optimized crystal structure of CaIr3N (PBE).

Unit cell a=4.9256 b=4.9256 c=4.9256 alpha=90.00 beta=90.00 gamma=90.00
Last column: nearest neighbours and their distance in Å.
Space group Pm-3m (No. 221)
Symmetry-distinct sites (fractional):
Ca (0.0000, 0.0000, 0.0000) [1 per cell]  6 Ir 2.46
Ir (0.0000, 0.0000, 0.5000) [3 per cell]  2 Ca 2.46
N (0.5000, 0.5000, 0.5000) [1 per cell]  12 Ir 3.48

Calculated values
**M_tot**: 5.969 Bohr magnetons per cell
**Electronic total energy**: -19.154 eV per cell
**Formation energy (no corrections)**: 3.5512 eV per atom
**V**: 23.90 Å³/atom


Entry from the Alexandria database: an optimized crystal structure of Ca4IrN4 (PBE).

Unit cell a=5.9941 b=6.1530 c=8.3855 alpha=88.79 beta=72.29 gamma=70.33
Last column: nearest neighbours and their distance in Å.
Space group P-1 (No. 2)
Symmetry-distinct sites (fractional):
Ca (0.0496, 0.2337, 0.4300) [2 per cell]  4 N 2.37-2.57
Ca (0.2028, 0.2231, 0.0133) [2 per cell]  4 N 2.37-2.52
Ca (0.2577, 0.7178, 0.1503) [2 per cell]  4 N 2.37-2.50
Ca (0.4248, 0.2885, 0.6201) [2 per cell]  5 N 2.43-2.55
Ir (0.3869, 0.7905, 0.7605) [2 per cell]  4 N 1.92-2.09
N (0.1586, 0.0337, 0.6816) [2 per cell]  1 Ir 1.92
N (0.2584, 0.5528, 0.8798) [2 per cell]  1 Ir 1.99
N (0.2950, 0.4820, 0.3751) [2 per cell]  1 Ir 2.09
N (0.4102, 0.0094, 0.2102) [2 per cell]  1 Ir 2.06

Calculated values
**M_tot**: 0.000 Bohr magnetons per cell
**Electronic total energy**: -110.418 eV per cell
**Formation energy (no corrections)**: -0.5600 eV per atom
**V**: 15.35 Å³/atom


Entry from the Alexandria database: an optimized crystal structure of CaIrOsN2 (PBE).

Unit cell a=3.9164 b=3.9164 c=5.1109 alpha=90.00 beta=90.00 gamma=90.00
Last column: nearest neighbours and their distance in Å.
Space group P4/mmm (No. 123)
Symmetry-distinct sites (fractional):
Ca (0.0000, 0.0000, 0.0000) [1 per cell]  4 Os 2.77
Ir (0.5000, 0.5000, 0.5000) [1 per cell]  4 N 1.96
Os (0.5000, 0.5000, 0.0000) [1 per cell]  2 Ir 2.56, 4 Ca 2.77
N (0.0000, 0.5000, 0.5000) [2 per cell]  2 Ir 1.96

Calculated values
**M_tot**: 0.000 Bohr magnetons per cell
**Electronic total energy**: -32.643 eV per cell
**Formation energy (no corrections)**: 1.2201 eV per atom
**V**: 15.68 Å³/atom


Entry from the Alexandria database: an optimized crystal structure of Ca2PIrN (PBE).

Unit cell a=5.0719 b=5.0719 c=3.7409 alpha=90.00 beta=90.00 gamma=90.00
Last column: nearest neighbours and their distance in Å.
Space group P4/mmm (No. 123)
Symmetry-distinct sites (fractional):
Ca (0.0000, 0.5000, 0.0000) [2 per cell]  2 N 2.54
P (0.0000, 0.0000, 0.5000) [1 per cell]  8 Ca 3.15
Ir (0.5000, 0.5000, 0.5000) [1 per cell]  2 N 1.87
N (0.5000, 0.5000, 0.0000) [1 per cell]  2 Ir 1.87

Calculated values
**M_tot**: 0.000 Bohr magnetons per cell
**Electronic total energy**: -29.902 eV per cell
**Formation energy (no corrections)**: -0.6606 eV per atom
**V**: 19.25 Å³/atom